Here is a relaxed structure of CuAgP from Alexandria via LeMat-Bulk. Energies are from GGA-PBEsol.

```
CuAgP
1.0
4.107 0.000 0.000
2.053 3.557 0.000
2.053 1.186 3.353
Ag Cu P
1 1 1
Direct
0.250 0.250 0.250
0.000 0.000 0.000
0.500 0.500 0.500
```

- formation energy from the elements (eV per atom) = 0.388
- raw total energy (eV/atom) = -4.091
- D(E_F) (states/eV per cell) = 1.17
- spin magnetization (μB/atom) = 0.000
- calculated density (kg/m³) = 6862

Here is a relaxed structure of NaSrLiCo2 from Alexandria via LeMat-Bulk. Energies are from GGA-PBEsol.

```
NaSrLiCo2
1.0
-0.651 3.523 3.378
-4.564 -1.646 0.837
1.913 -3.344 3.856
Sr Li Co Na
1 1 2 1
Direct
0.000 0.000 0.000
0.000 0.000 0.500
0.000 0.500 0.000
0.500 0.000 0.000
0.500 0.500 0.500
```

- formation energy from the elements (eV per atom) = 1.543
- raw total energy (eV/atom) = -2.593
- D(E_F) (states/eV per cell) = 6.36
- spin magnetization (μB/atom) = 0.500
- calculated density (kg/m³) = 2959